Entry 1:
Pm2NiPb2: relaxed, GGA-PBE.

Summary:
SG ... No. 12
Magnetization ... 0.00 μB per formula unit

Unit cell a=4.5325 b=6.1331 c=10.4201 alpha=88.01 beta=77.44 gamma=68.31
Closest atoms and distances in Å follow each position.
Sites, in units of the cell vectors:
Pm  0.3332  0.6659  0.6678  7 Pb 3.21-3.51, 3 Ni 3.24-3.35
Pm  0.9388  0.2456  0.8767  2 Ni 3.16, 6 Pb 3.25-3.39
Pm  0.0612  0.7544  0.1233  2 Ni 3.16, 6 Pb 3.25-3.39
Pm  0.6668  0.3341  0.3322  7 Pb 3.21-3.51, 3 Ni 3.24-3.35
Pb  0.6526  0.8153  0.8795  1 Ni 2.71
Pb  0.8930  0.7706  0.4434  3 Ni 2.68-2.91
Pb  0.3474  0.1847  0.1205  1 Ni 2.71
Pb  0.1070  0.2294  0.5566  3 Ni 2.68-2.91
Ni  0.6146  0.0981  0.6728  4 Pb 2.68-2.91
Ni  0.3854  0.9019  0.3272  4 Pb 2.68-2.91

---

Entry 2:
Pm3NiPb2: relaxed, GGA-PBE.

Summary:
SG ... No. 15
Energy above the lowest structure with this stoichiometry ... 0.81 eV per formula unit
Magnetization ... 0.00 μB per formula unit

Unit cell a=6.4492 b=8.6886 c=7.1982 alpha=106.96 beta=116.61 gamma=90.00
Closest atoms and distances in Å follow each position.
Sites, in units of the cell vectors:
Pm  0.7223  0.3676  0.6764  1 Ni 2.61
Pm  0.3170  0.2500  0.0000  1 Ni 2.92, 4 Pb 3.11-3.26
Pm  0.6830  0.7500  0.0000  1 Ni 2.92, 4 Pb 3.11-3.26
Pm  0.9542  0.8676  0.6764  1 Ni 2.61
Pm  0.2777  0.6324  0.3236  1 Ni 2.61
Pm  0.0458  0.1324  0.3236  1 Ni 2.61
Pb  0.5099  0.0030  0.2846  1 Ni 2.79, 1 Pm 3.11
Pb  0.4901  0.9970  0.7154  1 Ni 2.79, 1 Pm 3.11
Pb  0.2253  0.4970  0.7154  1 Ni 2.79, 1 Pm 3.11
Pb  0.7747  0.5030  0.2846  1 Ni 2.79, 1 Pm 3.11
Ni  0.1361  0.7500  0.0000  2 Pm 2.61, 2 Pb 2.79
Ni  0.8639  0.2500  0.0000  2 Pm 2.61, 2 Pb 2.79

---

Entry 3:
Pm3Ni2Pb3: relaxed, GGA-PBE.

Summary:
SG ... No. 63
Magnetization ... 0.00 μB per formula unit

Unit cell a=4.5776 b=6.0671 c=15.4801 alpha=90.00 beta=90.00 gamma=112.16
Closest atoms and distances in Å follow each position.
Sites, in units of the cell vectors:
Pb  0.6355  0.2709  0.0360  3 Ni 2.66-2.91
Pb  0.6534  0.3069  0.7500  2 Ni 2.73
Pb  0.3466  0.6931  0.2500  2 Ni 2.73
Pb  0.6355  0.2709  0.4640  3 Ni 2.66-2.91
Pb  0.3645  0.7291  0.9640  3 Ni 2.66-2.91
Pb  0.3645  0.7291  0.5360  3 Ni 2.66-2.91
Pm  0.9224  0.8449  0.3897  3 Ni 3.12-3.39, 5 Pb 3.26-3.42
Pm  0.9224  0.8449  0.1103  3 Ni 3.12-3.39, 5 Pb 3.26-3.42
Pm  0.6425  0.2850  0.2500  4 Ni 3.23, 5 Pb 3.24-3.33
Pm  0.0776  0.1551  0.8897  3 Ni 3.12-3.39, 5 Pb 3.26-3.42
Pm  0.0776  0.1551  0.6103  3 Ni 3.12-3.39, 5 Pb 3.26-3.42
Pm  0.3575  0.7150  0.7500  4 Ni 3.23, 5 Pb 3.24-3.33
Ni  0.7996  0.5993  0.6092  4 Pb 2.66-2.91
Ni  0.2004  0.4007  0.3908  4 Pb 2.66-2.91
Ni  0.2004  0.4007  0.1092  4 Pb 2.66-2.91
Ni  0.7996  0.5993  0.8908  4 Pb 2.66-2.91

---

Entry 4:
Pm12NiPb6: relaxed, GGA-PBE.

Summary:
SG ... No. 148
Magnetization ... 0.00 μB per formula unit

Unit cell a=8.5968 b=8.5968 c=8.5968 alpha=92.05 beta=92.05 gamma=92.05
Closest atoms and distances in Å follow each position.
Sites, in units of the cell vectors:
Pm  0.0404  0.9171  0.6937  1 Ni 2.74
Pm  0.1991  0.4212  0.5486  4 Pb 3.26-3.33
Pm  0.5486  0.1991  0.4212  4 Pb 3.26-3.33
Pm  0.9596  0.0829  0.3063  1 Ni 2.74
Pm  0.4514  0.8009  0.5788  4 Pb 3.26-3.33
Pm  0.6937  0.0404  0.9171  1 Ni 2.74
Pm  0.3063  0.9596  0.0829  1 Ni 2.74
Pm  0.5788  0.4514  0.8009  4 Pb 3.26-3.33
Pm  0.4212  0.5486  0.1991  4 Pb 3.26-3.33
Pm  0.8009  0.5788  0.4514  4 Pb 3.26-3.33
Pm  0.9171  0.6937  0.0404  1 Ni 2.74
Pm  0.0829  0.3063  0.9596  1 Ni 2.74
Pb  0.8643  0.2577  0.6403  8 Pm 3.26-3.42
Pb  0.1357  0.7423  0.3597  8 Pm 3.26-3.42
Pb  0.2577  0.6403  0.8643  8 Pm 3.26-3.42
Pb  0.3597  0.1357  0.7423  8 Pm 3.26-3.42
Pb  0.7423  0.3597  0.1357  8 Pm 3.26-3.42
Pb  0.6403  0.8643  0.2577  8 Pm 3.26-3.42
Ni  0.0000  0.0000  0.0000  6 Pm 2.74

---

Entry 5:
Pm6NiPb2: relaxed, GGA-PBE.

Summary:
SG ... No. 189
Magnetization ... 0.00 μB per formula unit

Unit cell a=3.7616 b=9.0606 c=9.0608 alpha=120.00 beta=90.00 gamma=90.00
Closest atoms and distances in Å follow each position.
Sites, in units of the cell vectors:
Pm  0.5000  0.0000  0.6004  4 Pb 3.35, 1 Ni 3.62, 4 Pm 3.67
Pm  0.5000  0.3996  0.3996  4 Pb 3.35, 1 Ni 3.62, 4 Pm 3.67
Pm  0.0000  0.0000  0.2356  2 Ni 2.85
Pm  0.5000  0.6003  0.0000  4 Pb 3.35, 1 Ni 3.62, 4 Pm 3.67
Pm  0.0000  0.7643  0.7644  2 Ni 2.85
Pm  0.0000  0.2356  0.0000  2 Ni 2.85
Pb  0.0000  0.6667  0.3334  9 Pm 3.35-3.55
Pb  0.0000  0.3334  0.6666  9 Pm 3.35-3.55
Ni  0.5000  0.0000  0.0000  6 Pm 2.85

---

Entry 6:
Pm12Ni6Pb: relaxed, GGA-PBE.

Summary:
SG ... No. 204
Magnetization ... 0.00 μB per formula unit

Unit cell a=8.6754 b=8.6754 c=8.6754 alpha=109.47 beta=109.47 gamma=109.47
Closest atoms and distances in Å follow each position.
Sites, in units of the cell vectors:
Pm  0.6928  0.8798  0.1870  3 Ni 2.72-2.95
Pm  0.6928  0.5059  0.8130  3 Ni 2.72-2.95
Pm  0.1202  0.8130  0.3072  3 Ni 2.72-2.95
Pm  0.5059  0.8130  0.6928  3 Ni 2.72-2.95
Pm  0.8798  0.1870  0.6928  3 Ni 2.72-2.95
Pm  0.8130  0.3072  0.1202  3 Ni 2.72-2.95
Pm  0.8130  0.6928  0.5059  3 Ni 2.72-2.95
Pm  0.4941  0.1870  0.3072  3 Ni 2.72-2.95
Pm  0.1870  0.6928  0.8798  3 Ni 2.72-2.95
Pm  0.3072  0.1202  0.8130  3 Ni 2.72-2.95
Pm  0.3072  0.4941  0.1870  3 Ni 2.72-2.95
Pm  0.1870  0.3072  0.4941  3 Ni 2.72-2.95
Ni  0.6212  0.5000  0.1212  1 Ni 2.43
Ni  0.8788  0.3788  0.5000  1 Ni 2.43
Ni  0.1212  0.6212  0.5000  1 Ni 2.43
Ni  0.5000  0.1212  0.6212  1 Ni 2.43
Ni  0.3788  0.5000  0.8788  1 Ni 2.43
Ni  0.5000  0.8788  0.3788  1 Ni 2.43
Pb  0.0000  0.0000  0.0000  12 Pm 3.60

---

Entry 7:
Pm12Ni5Pb: relaxed, GGA-PBE.

Summary:
SG ... No. 71
Magnetization ... 0.00 μB per formula unit

Unit cell a=8.5917 b=8.5917 c=8.5917 alpha=106.58 beta=112.17 gamma=109.71
Closest atoms and distances in Å follow each position.
Sites, in units of the cell vectors:
Ni  0.3693  0.3693  0.0000  1 Ni 2.59, 2 Pm 2.74
Ni  0.0000  0.0000  0.0000  4 Pm 2.82
Ni  0.6307  0.6307  0.0000  1 Ni 2.59, 2 Pm 2.74
Ni  0.5000  0.1227  0.6227  1 Ni 2.52, 2 Pm 2.75
Ni  0.5000  0.8773  0.3773  1 Ni 2.52, 2 Pm 2.75
Pm  0.4816  0.1814  0.3002  2 Ni 2.91
Pm  0.1901  0.9860  0.7960  2 Ni 2.74-2.82
Pm  0.6919  0.6789  0.3708  3 Ni 2.75-2.90
Pm  0.8099  0.0140  0.2040  2 Ni 2.74-2.82
Pm  0.3081  0.3211  0.6292  3 Ni 2.75-2.90
Pm  0.8812  0.1814  0.6998  2 Ni 2.91
Pm  0.1188  0.8186  0.3002  2 Ni 2.91
Pm  0.6919  0.3211  0.0130  3 Ni 2.75-2.90
Pm  0.3081  0.6789  0.9870  3 Ni 2.75-2.90
Pm  0.5184  0.8186  0.6998  2 Ni 2.91
Pm  0.8099  0.6059  0.7960  2 Ni 2.74-2.82
Pm  0.1901  0.3941  0.2040  2 Ni 2.74-2.82
Pb  0.0000  0.5000  0.5000  12 Pm 3.48-3.69

---

Entry 8:
Pm3NiPb2: relaxed, GGA-PBE.

Summary:
SG ... No. 62
Energy above the lowest structure with this stoichiometry ... 0.00 eV per formula unit
Magnetization ... 0.64 μB per formula unit

Unit cell a=4.4908 b=12.1223 c=12.5399 alpha=90.00 beta=90.00 gamma=90.00
Closest atoms and distances in Å follow each position.
Sites, in units of the cell vectors:
Pm  0.7500  0.6308  0.9438  1 Ni 3.00, 4 Pb 3.19-3.24
Pm  0.2500  0.0496  0.8785  3 Ni 3.16-3.28, 5 Pb 3.23-3.33
Pm  0.2500  0.3692  0.0562  1 Ni 3.00, 4 Pb 3.19-3.24
Pm  0.7500  0.8692  0.4438  1 Ni 3.00, 4 Pb 3.19-3.24
Pm  0.7500  0.2037  0.2668  2 Ni 2.97, 2 Pb 3.27
Pm  0.7500  0.9504  0.1215  3 Ni 3.16-3.28, 5 Pb 3.23-3.33
Pm  0.2500  0.7963  0.7332  2 Ni 2.97, 2 Pb 3.27
Pm  0.7500  0.2963  0.7668  2 Ni 2.97, 2 Pb 3.27
Pm  0.2500  0.7037  0.2332  2 Ni 2.97, 2 Pb 3.27
Pm  0.2500  0.1308  0.5562  1 Ni 3.00, 4 Pb 3.19-3.24
Pm  0.2500  0.4504  0.3785  3 Ni 3.16-3.28, 5 Pb 3.23-3.33
Pm  0.7500  0.5496  0.6215  3 Ni 3.16-3.28, 5 Pb 3.23-3.33
Ni  0.2500  0.1333  0.1277  3 Pb 2.78-2.80, 3 Pm 2.97-3.00
Ni  0.7500  0.8667  0.8723  3 Pb 2.78-2.80, 3 Pm 2.97-3.00
Ni  0.7500  0.6333  0.3723  3 Pb 2.78-2.80, 3 Pm 2.97-3.00
Ni  0.2500  0.3667  0.6277  3 Pb 2.78-2.80, 3 Pm 2.97-3.00
Pb  0.2500  0.0036  0.3107  1 Ni 2.78
Pb  0.2500  0.8108  0.9939  2 Ni 2.80
Pb  0.2500  0.6892  0.4939  2 Ni 2.80
Pb  0.7500  0.9964  0.6893  1 Ni 2.78
Pb  0.7500  0.3108  0.5061  2 Ni 2.80
Pb  0.7500  0.1892  0.0061  2 Ni 2.80
Pb  0.2500  0.4964  0.8107  1 Ni 2.78
Pb  0.7500  0.5036  0.1893  1 Ni 2.78

---

Entry 9:
Pm5Ni2Pb2: relaxed, GGA-PBE.

Summary:
SG ... No. 64
Magnetization ... 0.00 μB per formula unit

Unit cell a=7.1796 b=8.7964 c=9.0885 alpha=118.94 beta=90.00 gamma=90.00
Closest atoms and distances in Å follow each position.
Sites, in units of the cell vectors:
Pm  0.1417  0.4374  0.2359  2 Ni 2.79-3.10
Pm  0.1417  0.2015  0.7641  2 Ni 2.79-3.10
Pm  0.8583  0.7985  0.2359  2 Ni 2.79-3.10
Pm  0.6417  0.0626  0.7641  2 Ni 2.79-3.10
Pm  0.8583  0.5626  0.7641  2 Ni 2.79-3.10
Pm  0.3583  0.9374  0.2359  2 Ni 2.79-3.10
Pm  0.3583  0.7015  0.7641  2 Ni 2.79-3.10
Pm  0.0000  0.0000  0.0000  2 Ni 2.81
Pm  0.6417  0.2985  0.2359  2 Ni 2.79-3.10
Pm  0.5000  0.5000  0.0000  2 Ni 2.81
Pb  0.0000  0.7867  0.5735  7 Pm 3.28-3.39
Pb  0.5000  0.2867  0.5735  7 Pm 3.28-3.39
Pb  0.5000  0.7133  0.4265  7 Pm 3.28-3.39
Pb  0.0000  0.2133  0.4265  7 Pm 3.28-3.39
Ni  0.1316  0.6078  0.0000  1 Ni 2.68, 3 Pm 2.79-2.81
Ni  0.8684  0.3922  0.0000  1 Ni 2.68, 3 Pm 2.79-2.81
Ni  0.3684  0.1078  0.0000  1 Ni 2.68, 3 Pm 2.79-2.81
Ni  0.6316  0.8922  0.0000  1 Ni 2.68, 3 Pm 2.79-2.81

---

Entry 10:
Pm8Ni2Pb: relaxed, GGA-PBE.

Summary:
SG ... No. 12
Magnetization ... 0.00 μB per formula unit

Unit cell a=5.5234 b=8.1530 c=8.1530 alpha=115.26 beta=97.50 gamma=97.50
Closest atoms and distances in Å follow each position.
Sites, in units of the cell vectors:
Ni  0.5000  0.3022  0.7040  6 Pm 2.85-2.94
Ni  0.5000  0.7040  0.3022  6 Pm 2.85-2.94
Pm  0.0000  0.7537  0.2525  2 Ni 2.85
Pm  0.1985  0.4026  0.4026  4 Pm 3.13-3.43, 2 Ni 3.24, 1 Pb 3.39
Pm  0.4322  0.9252  0.6724  2 Ni 2.89-2.94
Pm  0.5677  0.3338  0.0810  2 Ni 2.89-2.94
Pm  0.0000  0.2525  0.7537  2 Ni 2.85
Pm  0.8013  0.6036  0.6036  4 Pm 3.13-3.43, 2 Ni 3.24, 1 Pb 3.39
Pm  0.4322  0.6724  0.9252  2 Ni 2.89-2.94
Pm  0.5677  0.0810  0.3338  2 Ni 2.89-2.94
Pb  0.0000  0.0030  0.0030  12 Pm 3.39-3.74

---

no.,formation energy from the elements (eV per atom)
1,-0.449
2,-0.353
3,-0.439
4,-0.335
5,-0.364
6,-0.306
7,-0.281
8,-0.488
9,-0.364
10,-0.154